# Li2YMo | Alexandria via LeMat-Bulk | PBE-GGA | relaxed
data_Li2YMo
_space_group_name_H-M_alt 'P 1'
_space_group_IT_number 1
_cell_length_a 5.263
_cell_length_b 5.263
_cell_length_c 5.263
_cell_angle_alpha 133.69
_cell_angle_beta 133.69
_cell_angle_gamma 67.57
loop_
_space_group_symop_operation_xyz
'x,y,z'
loop_
_atom_site_label
_atom_site_fract_x
_atom_site_fract_y
_atom_site_fract_z
Y1 0.750 0.250 0.500
Li1 0.000 0.000 0.000
Mo1 0.500 0.500 0.000
Li2 0.250 0.750 0.500
# SG = I-4m2 (119)
# E = -4.688 eV per atom
# M_tot = 0.84 μB per formula unit

---

# LiYMo4 | Alexandria via LeMat-Bulk | PBE-GGA | relaxed
data_LiYMo4
_space_group_name_H-M_alt 'P 1'
_space_group_IT_number 1
_cell_length_a 5.412
_cell_length_b 5.412
_cell_length_c 5.412
_cell_angle_alpha 60.00
_cell_angle_beta 60.00
_cell_angle_gamma 60.00
loop_
_space_group_symop_operation_xyz
'x,y,z'
loop_
_atom_site_label
_atom_site_fract_x
_atom_site_fract_y
_atom_site_fract_z
Mo1 0.374 0.877 0.374
Mo2 0.374 0.374 0.374
Mo3 0.374 0.374 0.877
Y1 0.750 0.750 0.750
Li1 0.000 0.000 0.000
Mo4 0.877 0.374 0.374
# SG = F-43m (216)
# E = -8.230 eV per atom
# M_tot = 0.00 μB per formula unit

---

# Li2YMo | Alexandria via LeMat-Bulk | PBE-GGA | relaxed
data_Li2YMo
_space_group_name_H-M_alt 'P 1'
_space_group_IT_number 1
_cell_length_a 4.891
_cell_length_b 4.891
_cell_length_c 4.891
_cell_angle_alpha 60.00
_cell_angle_beta 60.00
_cell_angle_gamma 60.00
loop_
_space_group_symop_operation_xyz
'x,y,z'
loop_
_atom_site_label
_atom_site_fract_x
_atom_site_fract_y
_atom_site_fract_z
Li1 0.000 0.000 0.000
Y1 0.750 0.750 0.750
Li2 0.250 0.250 0.250
Mo1 0.500 0.500 0.500
# SG = F-43m (216)
# E = -4.665 eV per atom
# M_tot = 2.88 μB per formula unit

---

# LiZnMo | Alexandria via LeMat-Bulk | PBE-GGA | relaxed
data_LiZnMo
_space_group_name_H-M_alt 'P 1'
_space_group_IT_number 1
_cell_length_a 4.279
_cell_length_b 4.279
_cell_length_c 4.279
_cell_angle_alpha 60.00
_cell_angle_beta 60.00
_cell_angle_gamma 60.00
loop_
_space_group_symop_operation_xyz
'x,y,z'
loop_
_atom_site_label
_atom_site_fract_x
_atom_site_fract_y
_atom_site_fract_z
Zn1 0.000 0.000 0.000
Li1 0.500 0.500 0.500
Mo1 0.750 0.750 0.750
# SG = F-43m (216)
# E = -3.493 eV per atom
# M_tot = 2.06 μB per formula unit

---

# LiZnMo2 | Alexandria via LeMat-Bulk | PBE-GGA | relaxed
data_LiZnMo2
_space_group_name_H-M_alt 'P 1'
_space_group_IT_number 1
_cell_length_a 9.734
_cell_length_b 9.734
_cell_length_c 9.734
_cell_angle_alpha 16.12
_cell_angle_beta 16.12
_cell_angle_gamma 16.12
loop_
_space_group_symop_operation_xyz
'x,y,z'
loop_
_atom_site_label
_atom_site_fract_x
_atom_site_fract_y
_atom_site_fract_z
Mo1 0.503 0.503 0.503
Li1 0.750 0.750 0.750
Zn1 0.250 0.250 0.250
Mo2 0.997 0.997 0.997
# SG = R-3m (166)
# E = -5.815 eV per atom
# M_tot = 0.00 μB per formula unit

---

# LiZnMo2 | Alexandria via LeMat-Bulk | PBE-GGA | relaxed
data_LiZnMo2
_space_group_name_H-M_alt 'P 1'
_space_group_IT_number 1
_cell_length_a 2.605
_cell_length_b 2.605
_cell_length_c 9.108
_cell_angle_alpha 90.00
_cell_angle_beta 90.00
_cell_angle_gamma 99.68
loop_
_space_group_symop_operation_xyz
'x,y,z'
loop_
_atom_site_label
_atom_site_fract_x
_atom_site_fract_y
_atom_site_fract_z
Mo1 0.000 0.000 0.491
Li1 0.500 0.500 0.750
Mo2 0.000 0.000 0.009
Zn1 0.500 0.500 0.250
# SG = Cmmm (65)
# E = -5.931 eV per atom
# M_tot = 0.00 μB per formula unit

---

# LiZnMo2 | Alexandria via LeMat-Bulk | PBE-GGA | relaxed
data_LiZnMo2
_space_group_name_H-M_alt 'P 1'
_space_group_IT_number 1
_cell_length_a 3.229
_cell_length_b 3.229
_cell_length_c 5.862
_cell_angle_alpha 90.00
_cell_angle_beta 90.00
_cell_angle_gamma 90.00
loop_
_space_group_symop_operation_xyz
'x,y,z'
loop_
_atom_site_label
_atom_site_fract_x
_atom_site_fract_y
_atom_site_fract_z
Zn1 0.000 0.000 0.516
Mo1 0.000 0.000 0.017
Li1 0.500 0.500 0.737
Mo2 0.500 0.500 0.230
# SG = P4mm (99)
# E = -5.982 eV per atom
# M_tot = 0.00 μB per formula unit

---

# LiZnMo2 | Alexandria via LeMat-Bulk | PBE-GGA | relaxed
data_LiZnMo2
_space_group_name_H-M_alt 'P 1'
_space_group_IT_number 1
_cell_length_a 4.333
_cell_length_b 2.607
_cell_length_c 5.349
_cell_angle_alpha 82.30
_cell_angle_beta 90.00
_cell_angle_gamma 90.00
loop_
_space_group_symop_operation_xyz
'x,y,z'
loop_
_atom_site_label
_atom_site_fract_x
_atom_site_fract_y
_atom_site_fract_z
Mo1 0.000 0.998 0.004
Mo2 0.500 0.211 0.238
Li1 0.500 0.699 0.746
Zn1 0.000 0.593 0.512
# SG = Pm (6)
# E = -6.046 eV per atom
# M_tot = 0.00 μB per formula unit